## LiFeF4 (PBE+U)

Data for a relaxed LiFeF4 crystal.

Lattice parameters (Å, degrees): 5.4072 5.4072 12.1693 90.00 90.00 120.00
Positions (direct):
Li 0.0000 0.4421 0.1667
Li 0.4421 0.0000 0.8333
Li 0.5579 0.5579 0.5000
Fe 0.0000 0.4366 0.6667
Fe 0.4366 0.0000 0.3333
Fe 0.5634 0.5634 0.0000
F 0.0960 0.6966 0.2869
F 0.1011 0.6840 0.7842
F 0.3034 0.3994 0.6202
F 0.3160 0.4172 0.1175
F 0.3994 0.3034 0.3798
F 0.4172 0.3160 0.8825
F 0.5828 0.8989 0.4509
F 0.6006 0.9040 0.9535
F 0.6840 0.1011 0.2158
F 0.6966 0.0960 0.7131
F 0.8989 0.5828 0.5491
F 0.9040 0.6006 0.0465

V in Å³/cell: 308
Mass density in Mg/m³: 2.2
Distance to the lowest polymorph of the same formula in meV/atom: 95
Space-group type: P3_121